Entry 1:
Entry from Alexandria: crystalline YHN2F at its relaxed geometry (PBE).

Lattice parameters (Å, degrees): 3.2834 3.2834 4.1486 90.00 90.00 90.00
Last column: nearest neighbours and their distance in Å.
Space group P4/mmm (No. 123)
Inequivalent atoms, fractional coordinates:
1 Y 0.0000 0.0000 0.0000 x1  4 F 2.32
2 H 0.5000 0.5000 0.5000 x1  4 N 1.64
3 N 0.0000 0.5000 0.5000 x2  2 H 1.64
4 F 0.5000 0.5000 0.0000 x1  2 H 2.07, 4 Y 2.32

## Properties
DFT total energy = -29.94 eV/f.u.
density of states at the Fermi level = 1.87 states/eV/f.u.
crystal system = tetragonal
excess energy over the best structure of this formula in the dataset = 0.0 meV per atom



Entry 2:
Entry from Alexandria: crystalline YHN2F at its relaxed geometry (PBE).

Lattice parameters (Å, degrees): 4.7916 4.7916 4.4209 90.00 90.00 90.00
Last column: nearest neighbours and their distance in Å.
Space group P4/mmm (No. 123)
Inequivalent atoms, fractional coordinates:
1 Y 0.0000 0.0000 0.0000 x1  2 F 2.21, 4 N 2.40
2 H 0.5000 0.5000 0.5000 x1  8 N 3.26, 4 F 3.39
3 N 0.0000 0.5000 0.0000 x2  2 Y 2.40
4 F 0.0000 0.0000 0.5000 x1  2 Y 2.21

## Properties
DFT total energy = -26.51 eV/f.u.
density of states at the Fermi level = 0.94 states/eV/f.u.
crystal system = tetragonal
excess energy over the best structure of this formula in the dataset = 686.3 meV per atom